Nd5Dy6Er2 (PBE, optimized geometry); final energy = -118.7 eV for the cell shown; crystal system = orthorhombic
1.0
-1.959 -2.962 0.599
8.627 -4.391 6.499
-8.150 8.778 16.748
Nd Dy Er
10 12 4
Direct
0.500 0.302 0.449
0.500 0.698 0.551
0.500 0.802 0.051
0.500 0.198 0.949
0.500 0.584 0.273
0.500 0.416 0.727
0.500 0.084 0.227
0.500 0.916 0.773
0.500 0.500 0.000
0.500 0.000 0.500
0.000 0.081 0.368
0.000 0.919 0.632
0.000 0.581 0.132
0.000 0.419 0.868
0.500 0.325 0.139
0.500 0.675 0.861
0.500 0.825 0.361
0.500 0.175 0.639
0.000 0.562 0.419
0.000 0.438 0.581
0.000 0.062 0.081
0.000 0.938 0.919
0.000 0.329 0.290
0.000 0.671 0.710
0.000 0.829 0.210
0.000 0.171 0.790

Nd2Dy8Er (PBE, optimized geometry); energy above the lowest structure with this stoichiometry = 137 meV/atom; final energy = -49.2 eV for the cell shown; crystal system = monoclinic
1.0
0.294 -5.687 -1.516
7.541 -3.848 -3.126
5.919 -3.816 5.948
Nd Dy Er
2 8 1
Direct
0.000 0.307 0.386
0.000 0.693 0.614
0.827 0.098 0.230
0.827 0.329 0.770
0.297 0.426 0.000
0.500 0.793 0.414
0.500 0.207 0.586
0.703 0.574 0.000
0.173 0.671 0.230
0.173 0.902 0.770
0.500 0.000 0.000

NdDy3Er8 (PBE, optimized geometry); final energy = -51.2 eV for the cell shown; crystal system = orthorhombic
1.0
-3.710 3.553 -6.863
-4.132 -7.511 -0.108
-0.150 1.246 8.481
Nd Dy Er
1 3 8
Direct
0.000 0.000 0.000
0.500 0.744 0.244
0.500 0.256 0.756
0.000 0.500 0.500
0.503 0.256 0.248
0.497 0.745 0.753
0.992 0.744 0.247
0.008 0.255 0.752
0.169 0.420 0.251
0.831 0.081 0.250
0.831 0.580 0.750
0.169 0.919 0.749

Nd6DyEr (PBE, optimized geometry); final energy = -37.6 eV for the cell shown; crystal system = tetragonal
1.0
-4.605 -1.643 1.612
1.972 -0.954 4.659
-2.376 9.570 2.965
Nd Dy Er
6 1 1
Direct
0.500 0.500 0.000
0.500 0.500 0.500
0.500 0.000 0.251
0.500 0.000 0.749
0.000 0.500 0.251
0.000 0.500 0.749
0.000 0.000 0.000
0.000 0.000 0.500

NdDyEr5 (PBE, optimized geometry); energy above the lowest structure with this stoichiometry = 807 meV/atom; final energy = -25.1 eV for the cell shown; crystal system = orthorhombic
1.0
6.140 0.000 0.000
0.000 7.980 0.000
-3.070 -3.990 5.827
Nd Dy Er
1 1 5
Direct
0.697 0.500 0.000
0.938 0.000 0.000
0.185 0.256 0.513
0.169 0.500 0.000
0.673 0.744 0.487
0.435 0.821 0.000
0.435 0.179 0.000

Nd2Dy3Er (PBE, optimized geometry); energy above the lowest structure with this stoichiometry = 0 meV/atom; final energy = -54.6 eV for the cell shown; crystal system = monoclinic
1.0
-1.756 0.724 5.286
-6.945 -3.070 -4.871
7.389 -5.849 3.256
Nd Dy Er
4 6 2
Direct
0.506 0.013 0.857
0.494 0.987 0.143
0.767 0.535 0.125
0.233 0.465 0.875
0.289 0.578 0.573
0.955 0.910 0.613
0.614 0.228 0.656
0.386 0.772 0.344
0.045 0.090 0.387
0.711 0.422 0.427
0.869 0.737 0.868
0.131 0.263 0.132

Nd3Dy4Er4 (PBE, optimized geometry); energy above the lowest structure with this stoichiometry = 0 meV/atom; final energy = -50.8 eV for the cell shown; crystal system = triclinic
1.0
3.556 -0.003 -0.305
-0.049 4.993 -0.625
-0.109 -0.043 19.873
Nd Dy Er
3 4 4
Direct
0.636 0.636 0.274
0.364 0.364 0.726
0.000 0.000 0.000
0.546 0.545 0.092
0.454 0.455 0.908
0.818 0.817 0.634
0.182 0.183 0.366
0.092 0.090 0.182
0.272 0.272 0.544
0.728 0.728 0.456
0.908 0.911 0.818

Nd7Dy3Er2 (PBE, optimized geometry); energy above the lowest structure with this stoichiometry = 0 meV/atom; final energy = -55.4 eV for the cell shown; crystal system = monoclinic
1.0
-2.205 -1.078 -2.588
4.924 -2.976 -2.954
0.116 -16.767 6.889
Nd Dy Er
7 3 2
Direct
0.500 0.236 0.506
0.500 0.764 0.494
0.000 0.556 0.168
0.000 0.000 0.000
0.000 0.444 0.832
0.500 0.948 0.828
0.500 0.052 0.172
0.500 0.500 0.000
0.000 0.115 0.340
0.000 0.885 0.660
0.500 0.610 0.330
0.500 0.390 0.670

Nd4DyEr4 (PBE, optimized geometry); energy above the lowest structure with this stoichiometry = 84 meV/atom; final energy = -41.0 eV for the cell shown; crystal system = monoclinic
1.0
5.468 0.004 1.294
2.018 7.904 3.681
0.916 3.092 8.345
Nd Dy Er
4 1 4
Direct
0.280 0.154 0.285
0.720 0.846 0.715
0.867 0.309 0.958
0.133 0.691 0.042
0.500 0.000 0.000
0.621 0.426 0.331
0.930 0.768 0.374
0.379 0.574 0.669
0.070 0.232 0.626

Nd4Dy5Er4 (PBE, optimized geometry); final energy = -60.1 eV for the cell shown; crystal system = tetragonal
1.0
-0.494 -3.013 -4.015
8.717 -0.896 -3.568
1.171 -8.794 3.288
Nd Dy Er
4 5 4
Direct
0.922 0.460 0.696
0.618 0.304 0.460
0.078 0.540 0.304
0.382 0.696 0.540
0.690 0.850 0.771
0.310 0.150 0.229
0.000 0.000 0.000
0.539 0.771 0.150
0.461 0.229 0.850
0.770 0.383 0.076
0.230 0.617 0.924
0.847 0.924 0.383
0.153 0.076 0.617

NdDyEr3 (PBE, optimized geometry); energy above the lowest structure with this stoichiometry = 0 meV/atom; final energy = -46.0 eV for the cell shown; crystal system = monoclinic
1.0
8.169 0.000 -4.957
0.000 5.660 0.000
-3.366 0.000 8.946
Nd Dy Er
2 2 6
Direct
0.231 0.450 0.431
0.769 0.950 0.569
0.367 0.950 0.966
0.633 0.450 0.034
0.964 0.950 0.365
0.835 0.450 0.835
0.434 0.450 0.233
0.566 0.950 0.767
0.165 0.950 0.165
0.036 0.450 0.635

Nd6Dy8Er (PBE, optimized geometry); energy above the lowest structure with this stoichiometry = 60 meV/atom; final energy = -67.3 eV for the cell shown; crystal system = trigonal
1.0
-3.536 4.660 -2.933
-2.449 -6.093 -6.728
-5.290 0.849 7.726
Nd Dy Er
6 8 1
Direct
0.834 0.747 0.034
0.834 0.966 0.713
0.834 0.287 0.253
0.166 0.253 0.966
0.166 0.034 0.287
0.166 0.713 0.747
0.658 0.094 0.438
0.658 0.562 0.656
0.658 0.344 0.906
0.342 0.906 0.562
0.342 0.438 0.344
0.342 0.656 0.094
0.121 0.333 0.667
0.879 0.667 0.333
0.500 0.000 0.000

Nd4Dy15Er (PBE, optimized geometry); final energy = -92.3 eV for the cell shown; crystal system = tetragonal
1.0
5.049 0.000 0.000
0.000 5.049 0.000
0.000 0.000 25.179
Nd Dy Er
4 15 1
Direct
0.000 0.000 0.199
0.000 0.000 0.400
0.000 0.000 0.600
0.000 0.000 0.801
0.500 0.500 0.000
0.500 0.500 0.199
0.500 0.500 0.400
0.500 0.500 0.600
0.500 0.500 0.801
0.500 0.000 0.098
0.500 0.000 0.299
0.500 0.000 0.500
0.500 0.000 0.701
0.500 0.000 0.902
0.000 0.500 0.098
0.000 0.500 0.299
0.000 0.500 0.500
0.000 0.500 0.701
0.000 0.500 0.902
0.000 0.000 0.000

NdDy5Er8 (PBE, optimized geometry); final energy = -60.8 eV for the cell shown; crystal system = tetragonal
1.0
8.002 0.000 -2.489
-4.117 6.679 -2.944
0.231 0.000 8.377
Nd Dy Er
1 5 8
Direct
0.250 0.500 0.750
0.039 0.324 0.136
0.864 0.902 0.188
0.812 0.676 0.715
0.500 0.000 0.500
0.285 0.098 0.961
0.164 0.740 0.081
0.919 0.083 0.659
0.723 0.252 0.329
0.671 0.395 0.923
0.529 0.605 0.277
0.576 0.917 0.836
0.341 0.260 0.424
0.077 0.748 0.471

Nd2Dy9Er3 (PBE, optimized geometry); final energy = -62.9 eV for the cell shown; crystal system = triclinic
1.0
5.638 -0.430 2.403
2.846 8.214 5.164
2.848 1.605 11.898
Nd Dy Er
2 9 3
Direct
0.380 0.303 0.696
0.582 0.699 0.300
0.988 0.514 0.486
0.404 0.906 0.761
0.566 0.110 0.222
0.810 0.708 0.956
0.166 0.309 0.025
0.958 0.909 0.427
0.012 0.105 0.558
0.761 0.512 0.827
0.217 0.504 0.159
0.187 0.902 0.098
0.612 0.305 0.358
0.357 0.711 0.627

Nd2DyEr5 (PBE, optimized geometry); energy above the lowest structure with this stoichiometry = 0 meV/atom; final energy = -73.5 eV for the cell shown; crystal system = orthorhombic
1.0
5.022 0.000 0.000
0.000 7.108 0.000
0.000 0.000 14.217
Nd Dy Er
4 2 10
Direct
0.500 0.250 0.625
0.500 0.750 0.375
0.500 0.250 0.125
0.500 0.750 0.875
0.000 0.000 0.500
0.000 0.500 0.000
0.000 0.000 0.000
0.000 0.500 0.500
0.000 0.500 0.750
0.000 0.500 0.250
0.000 0.000 0.250
0.000 0.000 0.750
0.500 0.250 0.875
0.500 0.750 0.125
0.500 0.250 0.375
0.500 0.750 0.625

Nd4DyEr (PBE, optimized geometry); energy above the lowest structure with this stoichiometry = 0 meV/atom; final energy = -55.8 eV for the cell shown; crystal system = monoclinic
1.0
5.165 0.000 -2.494
-0.255 12.196 -0.528
-0.110 2.259 6.366
Nd Dy Er
8 2 2
Direct
0.015 0.784 0.568
0.554 0.284 0.568
0.797 0.049 0.098
0.301 0.549 0.098
0.203 0.951 0.902
0.699 0.451 0.902
0.985 0.216 0.432
0.446 0.716 0.432
0.254 0.250 0.000
0.746 0.750 0.000
0.000 0.500 0.500
0.500 0.000 0.500

Nd7Dy2Er3 (PBE, optimized geometry); energy above the lowest structure with this stoichiometry = 0 meV/atom; final energy = -55.2 eV for the cell shown; crystal system = monoclinic
1.0
3.626 0.000 0.000
0.000 5.868 0.237
0.000 -2.074 18.935
Nd Dy Er
7 2 3
Direct
0.500 0.742 0.465
0.500 0.258 0.535
0.000 0.671 0.145
0.000 0.000 0.000
0.000 0.329 0.855
0.500 0.826 0.816
0.500 0.174 0.184
0.500 0.704 0.298
0.500 0.296 0.702
0.500 0.500 0.000
0.000 0.216 0.368
0.000 0.784 0.632

Nd15DyEr4 (PBE, optimized geometry); final energy = -94.2 eV for the cell shown; crystal system = tetragonal
1.0
5.158 0.000 0.000
0.000 5.158 0.000
0.000 0.000 25.667
Nd Dy Er
15 1 4
Direct
0.500 0.500 0.000
0.500 0.500 0.200
0.500 0.500 0.400
0.500 0.500 0.600
0.500 0.500 0.800
0.500 0.000 0.100
0.500 0.000 0.300
0.500 0.000 0.500
0.500 0.000 0.700
0.500 0.000 0.900
0.000 0.500 0.100
0.000 0.500 0.300
0.000 0.500 0.500
0.000 0.500 0.700
0.000 0.500 0.900
0.000 0.000 0.000
0.000 0.000 0.200
0.000 0.000 0.400
0.000 0.000 0.600
0.000 0.000 0.800